Entry from the Alexandria database: crystalline PaCo2PdO8 at its relaxed geometry (GGA+U). Values from VASP.

space group	I-4m2, No. 119
theoretical density	6.26	g/cm³
DOS at the Fermi energy	4.3	states/eV per cell
energy	-6.59	eV/atom

Structure (Quantum ESPRESSO input):
```
&SYSTEM
  ibrav = 0, nat = 12, ntyp = 4
/
ATOMIC_SPECIES
Pa 231.04 Pa.upf
Co 58.93 Co.upf
Pd 106.42 Pd.upf
O 16.00 O.upf
ATOMIC_POSITIONS crystal
Pa 0.0000 0.0000 0.0000
Co 0.2500 0.7500 0.5000
Co 0.5000 0.5000 0.0000
Pd 0.7500 0.2500 0.5000
O 0.0778 0.3833 0.3056
O 0.0778 0.7722 0.6944
O 0.1145 0.3070 0.8075
O 0.2278 0.9222 0.3056
O 0.4995 0.3070 0.1925
O 0.6167 0.9222 0.6944
O 0.6930 0.5005 0.8075
O 0.6930 0.8855 0.1925
CELL_PARAMETERS angstrom
-3.4009 3.4009 3.3445
3.4009 -3.4009 3.3445
3.4009 3.4009 -3.3445
```